{
  "formula": "KInTeI2",
  "functional": "PBEsol",
  "state": "optimized geometry",
  "lattice": [[5.6248, 0.0000, 0.0000], [0.0000, 5.9774, 0.0000], [0.0000, 0.0000, 5.9774]],
  "species": ["I", "I", "In", "K", "Te"],
  "frac_coords": [[0.0000, 0.0000, 0.5000], [0.0000, 0.5000, 0.0000], [0.0000, 0.0000, 0.0000], [0.5000, 0.5000, 0.5000], [0.5000, 0.0000, 0.0000]],
  "dft_energy_ev_per_atom": -2.79,
  "dos_at_fermi_per_ev_fu": 3.5,
  "formation_energy_uncorrected_ev_per_atom": -0.5584,
  "polymorph_energy_mev_per_atom": 0.0
}



{
  "formula": "Na2TeSe3",
  "functional": "PBEsol",
  "state": "optimized geometry",
  "lattice": [[5.9141, -0.0269, 0.0000], [-0.6017, 8.5907, 0.0000], [0.0000, 0.0000, 12.5566]],
  "species": ["Se", "Se", "Se", "Se", "Se", "Se", "Se", "Se", "Se", "Se", "Se", "Se", "Na", "Na", "Na", "Na", "Na", "Na", "Na", "Na", "Te", "Te", "Te", "Te"],
  "frac_coords": [[0.7248, 0.3798, 0.4127], [0.7515, 0.8646, 0.4309], [0.7610, 0.3778, 0.7597], [0.2752, 0.6202, 0.5873], [0.7610, 0.8778, 0.7403], [0.7515, 0.3646, 0.0691], [0.2485, 0.1354, 0.5691], [0.2485, 0.6354, 0.9309], [0.7248, 0.8798, 0.0873], [0.2390, 0.1222, 0.2597], [0.2390, 0.6222, 0.2403], [0.2752, 0.1202, 0.9127], [0.7408, 0.6363, 0.2569], [0.7515, 0.1381, 0.5843], [0.2485, 0.8619, 0.4157], [0.2485, 0.3619, 0.0843], [0.2592, 0.3637, 0.7431], [0.2592, 0.8637, 0.7569], [0.7408, 0.1363, 0.2431], [0.7515, 0.6381, 0.9157], [0.7033, 0.6828, 0.5872], [0.2967, 0.8172, 0.0872], [0.7033, 0.1828, 0.9128], [0.2967, 0.3172, 0.4128]],
  "dft_energy_ev_per_atom": -3.58,
  "formation_energy_uncorrected_ev_per_atom": -0.5996
}



Copy entry 1 word for word.
{
  "formula": "KInTeI2",
  "functional": "PBEsol",
  "state": "optimized geometry",
  "lattice": [[5.6248, 0.0000, 0.0000], [0.0000, 5.9774, 0.0000], [0.0000, 0.0000, 5.9774]],
  "species": ["I", "I", "In", "K", "Te"],
  "frac_coords": [[0.0000, 0.0000, 0.5000], [0.0000, 0.5000, 0.0000], [0.0000, 0.0000, 0.0000], [0.5000, 0.5000, 0.5000], [0.5000, 0.0000, 0.0000]],
  "dft_energy_ev_per_atom": -2.79,
  "dos_at_fermi_per_ev_fu": 3.5,
  "formation_energy_uncorrected_ev_per_atom": -0.5584,
  "polymorph_energy_mev_per_atom": 0.0
}